Record 1
Density functional theory data (PBE) for AcGe2PtRh after structural relaxation.

Cell: 6.110 6.110 6.110 Å, 137.57 137.57 61.56°
Positions (direct):
Ac  0.000  0.000  0.000
Ge  0.368  0.368  0.000
Ge  0.632  0.632  0.000
Pt  0.750  0.250  0.500
Rh  0.250  0.750  0.500

Results
SG   No. 119
Formation energy from the elements   -80 kJ per mole of atoms
Spin magnetization   0.000 Bohr magnetons per cell



Record 2
Density functional theory data (PBE) for RbB3Pd after structural relaxation.

Cell: 4.730 4.730 4.730 Å, 90.00 90.00 90.00°
Positions (direct):
Rb  0.000  0.000  0.000
B  0.000  0.000  0.500
B  0.000  0.500  0.000
B  0.500  0.000  0.000
Pd  0.500  0.500  0.500

Results
SG   No. 221
Formation energy from the elements   338 kJ per mole of atoms
Spin magnetization   0.533 Bohr magnetons per cell



Record 3
Density functional theory data (PBE) for NpCoCl6 after structural relaxation.

Cell: 7.077 7.077 6.210 Å, 98.10 98.10 127.94°
Positions (direct):
Np  0.000  0.000  0.000
Co  0.500  0.500  0.500
Cl  0.129  0.404  0.266
Cl  0.255  0.255  0.745
Cl  0.404  0.129  0.266
Cl  0.596  0.871  0.734
Cl  0.745  0.745  0.255
Cl  0.871  0.596  0.734

Results
SG   No. 12
Spin magnetization   0.000 Bohr magnetons per cell
Formation energy (no corrections)   -1.1938 eV per atom